1.
VASP calculation (GGA-PBE) on a relaxed structure of Co2ReMoH.

Computed properties:
The spin magnetization comes out at 0.61 μB per formula unit.

Cell: 3.6889 3.6889 3.9279 Å, 90.00 90.00 90.00°
Sites, in units of the cell vectors:
1 Co 0.0000 0.5000 0.0000
2 Co 0.5000 0.0000 0.0000
3 Re 0.0000 0.0000 0.5000
4 Mo 0.5000 0.5000 0.5000
5 H 0.5000 0.5000 0.0000

2.
VASP calculation (GGA-PBE) on a relaxed structure of Co2ReMoH.

Computed properties:
The spin magnetization comes out at 0.40 μB per formula unit.

Cell: 3.7050 3.7050 3.8963 Å, 90.00 90.00 90.00°
Sites, in units of the cell vectors:
1 Co 0.0000 0.5000 0.0000
2 Co 0.5000 0.0000 0.0000
3 Re 0.0000 0.0000 0.5000
4 Mo 0.5000 0.5000 0.5000
5 H 0.0000 0.0000 0.0000

3.
VASP calculation (GGA-PBE) on a relaxed structure of CoRe2MoH.

Computed properties:
The spin magnetization comes out at 0.00 μB per formula unit.

Cell: 3.9402 3.9402 3.7309 Å, 90.00 90.00 90.00°
Sites, in units of the cell vectors:
1 Co 0.0000 0.0000 0.0000
2 Re 0.0000 0.5000 0.5000
3 Re 0.5000 0.0000 0.5000
4 Mo 0.5000 0.5000 0.0000
5 H 0.0000 0.0000 0.5000

4.
VASP calculation (GGA-PBE) on a relaxed structure of CoMoHRu2.

Computed properties:
The spin magnetization comes out at 0.00 μB per formula unit.

Cell: 3.8193 3.8193 3.8827 Å, 90.00 90.00 90.00°
Sites, in units of the cell vectors:
1 Co 0.0000 0.0000 0.0000
2 Mo 0.5000 0.5000 0.0000
3 H 0.5000 0.5000 0.5000
4 Ru 0.0000 0.5000 0.5000
5 Ru 0.5000 0.0000 0.5000

5.
VASP calculation (GGA-PBE) on a relaxed structure of CoMoHRu2.

Computed properties:
The spin magnetization comes out at 0.00 μB per formula unit.

Cell: 3.8800 3.8800 3.7132 Å, 90.00 90.00 90.00°
Sites, in units of the cell vectors:
1 Co 0.0000 0.0000 0.0000
2 Mo 0.5000 0.5000 0.0000
3 H 0.0000 0.0000 0.5000
4 Ru 0.0000 0.5000 0.5000
5 Ru 0.5000 0.0000 0.5000

6.
VASP calculation (GGA-PBE) on a relaxed structure of CoMoHSe2.

Computed properties:
The spin magnetization comes out at 0.00 μB per formula unit.

Cell: 4.4422 4.4422 3.2001 Å, 90.00 90.00 90.00°
Sites, in units of the cell vectors:
1 Co 0.0000 0.0000 0.0000
2 Mo 0.5000 0.5000 0.0000
3 H 0.0000 0.0000 0.5000
4 Se 0.0000 0.5000 0.5000
5 Se 0.5000 0.0000 0.5000

Ordered uncorrected energy results: -40.58, -40.57, -45.76, -39.40, -39.89, -26.50; unit eV per cell.